The following is a PBE-GGA calculation of a geometry-optimized TeAsPBr2 structure, from the Alexandria database.

Calculated values
The energy relative to the elements, uncorrected is 0.44 eV/atom. The calculation puts the offset from the most stable computed form at 0 meV per atom. Its space group is P4/mmm.

Unit cell a=4.9310 b=4.9310 c=5.2895 alpha=90.00 beta=90.00 gamma=90.00
Fractional coordinates of all 5 atoms:
Br (0.0000, 0.5000, 0.0000)
As (0.0000, 0.0000, 0.5000)
P (0.0000, 0.0000, 0.0000)
Te (0.5000, 0.5000, 0.5000)
Br (0.5000, 0.0000, 0.0000)